Computed, not measured: a geometry-optimized MgZr3Ni structure at the PBE-GGA level of DFT.

a b c (Å): 4.909 4.909 4.909
angles (deg): 90.00 90.00 90.00
Fractional coordinates of all 5 atoms:
Ni 0.000 0.000 0.000
Mg 0.500 0.500 0.500
Zr 0.000 0.500 0.000
Zr 0.000 0.000 0.500
Zr 0.500 0.000 0.000

- magnetization (μB/f.u.) = 0.0
- DFT formation energy (eV per atom) = 0.215

---

Computed, not measured: a geometry-optimized Ba5Re3ClO15 structure at the PBE-GGA level of DFT.

a b c (Å): 11.125 11.125 7.962
angles (deg): 90.00 90.00 120.00
Fractional coordinates of all 48 atoms:
Ba 0.266 0.266 0.227
Ba 0.000 0.266 0.727
Ba 0.734 0.000 0.227
Ba 0.000 0.734 0.227
Ba 0.333 0.667 0.487
Ba 0.667 0.333 0.487
Ba 0.734 0.734 0.727
Ba 0.266 0.000 0.727
Ba 0.333 0.667 0.987
Ba 0.667 0.333 0.987
Re 0.391 0.391 0.783
Re 0.000 0.391 0.283
Re 0.000 0.609 0.783
Re 0.391 0.000 0.283
Re 0.609 0.609 0.283
Re 0.609 0.000 0.783
Cl 0.000 0.000 0.909
Cl 0.000 0.000 0.409
O 0.131 0.554 0.742
O 0.390 0.258 0.924
O 0.868 0.610 0.924
O 0.132 0.390 0.424
O 0.705 0.705 0.106
O 0.424 0.869 0.742
O 0.131 0.576 0.242
O 0.446 0.576 0.742
O 0.869 0.446 0.242
O 0.390 0.132 0.424
O 0.000 0.705 0.606
O 0.610 0.742 0.424
O 0.742 0.610 0.424
O 0.742 0.132 0.924
O 0.705 0.000 0.606
O 0.295 0.000 0.106
O 0.554 0.131 0.742
O 0.424 0.554 0.242
O 0.869 0.424 0.742
O 0.446 0.869 0.242
O 0.295 0.295 0.606
O 0.576 0.446 0.742
O 0.000 0.295 0.106
O 0.554 0.424 0.242
O 0.576 0.131 0.242
O 0.868 0.258 0.424
O 0.132 0.742 0.924
O 0.610 0.868 0.924
O 0.258 0.868 0.424
O 0.258 0.390 0.924

- magnetization (μB/f.u.) = 0.0
- energy (eV per atom) = -7.46

---

Computed, not measured: a geometry-optimized KLa2 structure at the PBE-GGA level of DFT.

a b c (Å): 3.562 6.357 11.109
angles (deg): 90.00 90.00 90.00
Fractional coordinates of all 6 atoms:
K 0.000 0.000 0.000
K 0.500 0.500 0.500
La 0.773 0.000 0.333
La 0.227 0.000 0.667
La 0.273 0.500 0.167
La 0.727 0.500 0.833

- magnetization (μB/f.u.) = 0.0
- DFT formation energy (eV per atom) = 0.436

---

Computed, not measured: a geometry-optimized NdGdGaPt structure at the PBE-GGA level of DFT.

a b c (Å): 5.124 5.124 5.124
angles (deg): 60.00 60.00 60.00
Site moments in Bohr magnetons follow the coordinates.
Fractional coordinates of all 4 atoms:
Gd 0.000 0.000 0.000  6.97
Nd 0.500 0.500 0.500  0.00
Ga 0.250 0.250 0.250  -0.01
Pt 0.750 0.750 0.750  -0.01

- magnetization (μB/f.u.) = 7.1
- DFT formation energy (eV per atom) = -0.778

---

Computed, not measured: a geometry-optimized K2CdRe structure at the PBE-GGA level of DFT.

a b c (Å): 6.181 6.181 5.647
angles (deg): 84.25 84.25 26.42
Site moments in Bohr magnetons follow the coordinates.
Fractional coordinates of all 4 atoms:
Cd 0.750 0.750 0.750  -0.01
K 0.994 0.994 0.007  0.00
K 0.506 0.506 0.493  0.00
Re 0.250 0.250 0.250  0.20

- magnetization (μB/f.u.) = 0.2
- DFT formation energy (eV per atom) = 1.168

---

Computed, not measured: a geometry-optimized Cs3Tb3ScTe8 structure at the PBE-GGA level of DFT.

a b c (Å): 8.788 8.789 10.558
angles (deg): 114.61 90.00 120.00
Fractional coordinates of all 15 atoms:
Cs 0.000 0.000 0.000
Cs 0.000 0.500 0.000
Cs 0.500 0.500 0.000
Tb 0.500 0.000 0.500
Tb 0.500 0.500 0.500
Tb 0.000 0.500 0.500
Sc 0.000 0.000 0.500
Te 0.269 0.538 0.307
Te 0.731 0.462 0.693
Te 0.777 0.554 0.314
Te 0.223 0.446 0.686
Te 0.777 0.037 0.314
Te 0.223 0.963 0.686
Te 0.260 0.037 0.314
Te 0.740 0.963 0.686

- magnetization (μB/f.u.) = 0.0
- energy (eV per atom) = -4.49

---

Computed, not measured: a geometry-optimized ReNiPb structure at the PBE-GGA level of DFT.

a b c (Å): 4.480 4.480 2.870
angles (deg): 90.00 90.00 120.00
Site moments in Bohr magnetons follow the coordinates.
Fractional coordinates of all 3 atoms:
Ni 0.000 0.000 0.153  0.12
Pb 0.667 0.333 0.179  -0.01
Re 0.333 0.667 0.668  0.21

- magnetization (μB/f.u.) = 0.3
- DFT formation energy (eV per atom) = 0.925

---

Computed, not measured: a geometry-optimized Si2IrBr2 structure at the PBE-GGA level of DFT.

a b c (Å): 7.752 7.752 3.323
angles (deg): 90.00 90.00 90.00
Fractional coordinates of all 10 atoms:
Si 0.191 0.691 0.500
Si 0.691 0.809 0.500
Si 0.809 0.309 0.500
Si 0.309 0.191 0.500
Ir 0.000 0.000 0.000
Ir 0.500 0.500 0.000
Br 0.359 0.859 0.000
Br 0.859 0.641 0.000
Br 0.641 0.141 0.000
Br 0.141 0.359 0.000

- magnetization (μB/f.u.) = 0.0
- energy (eV per atom) = -3.51

---

Computed, not measured: a geometry-optimized PrSm12Sc2 structure at the PBE-GGA level of DFT.

a b c (Å): 6.650 6.650 25.419
angles (deg): 84.85 84.85 116.78
Fractional coordinates of all 30 atoms:
Pr 0.506 0.006 0.983
Pr 0.994 0.494 0.017
Sm 0.355 0.426 0.798
Sm 0.926 0.855 0.798
Sm 0.621 0.563 0.928
Sm 0.217 0.717 0.879
Sm 0.967 0.030 0.327
Sm 0.283 0.783 0.121
Sm 0.892 0.392 0.561
Sm 0.530 0.467 0.327
Sm 0.063 0.121 0.928
Sm 0.879 0.937 0.072
Sm 0.360 0.347 0.557
Sm 0.608 0.108 0.439
Sm 0.970 0.033 0.673
Sm 0.140 0.153 0.443
Sm 0.437 0.379 0.072
Sm 0.653 0.640 0.443
Sm 0.847 0.860 0.557
Sm 0.145 0.074 0.202
Sm 0.348 0.848 0.603
Sm 0.533 0.470 0.673
Sm 0.724 0.224 0.835
Sm 0.574 0.645 0.202
Sm 0.152 0.652 0.397
Sm 0.776 0.276 0.165
Sc 0.502 0.002 0.287
Sc 0.043 0.543 0.266
Sc 0.998 0.498 0.713
Sc 0.457 0.957 0.734

- magnetization (μB/f.u.) = 0.0
- DFT formation energy (eV per atom) = 0.126

---

Computed, not measured: a geometry-optimized Ac19Co6Hg4 structure at the PBE-GGA level of DFT.

a b c (Å): 10.966 10.966 10.966
angles (deg): 109.47 109.47 109.47
Fractional coordinates of all 29 atoms:
Ac 0.646 0.000 0.646
Ac 0.354 0.000 0.354
Ac 0.354 0.354 0.000
Ac 0.646 0.646 0.000
Ac 0.000 0.646 0.646
Ac 0.000 0.354 0.354
Ac 0.000 0.000 0.000
Ac 0.247 0.235 0.590
Ac 0.753 0.343 0.988
Ac 0.645 0.657 0.410
Ac 0.988 0.753 0.343
Ac 0.355 0.765 0.012
Ac 0.590 0.247 0.235
Ac 0.012 0.355 0.765
Ac 0.410 0.645 0.657
Ac 0.765 0.012 0.355
Ac 0.343 0.988 0.753
Ac 0.235 0.590 0.247
Ac 0.657 0.410 0.645
Co 0.312 0.500 0.812
Co 0.688 0.500 0.188
Co 0.188 0.688 0.500
Co 0.812 0.312 0.500
Co 0.500 0.812 0.312
Co 0.500 0.188 0.688
Hg 0.000 0.000 0.677
Hg 0.000 0.677 0.000
Hg 0.323 0.323 0.323
Hg 0.677 0.000 0.000

- magnetization (μB/f.u.) = 0.0
- DFT formation energy (eV per atom) = -0.099

---

Computed, not measured: a geometry-optimized ZrTc2AuCl structure at the PBE-GGA level of DFT.

a b c (Å): 5.147 5.194 5.147
angles (deg): 90.00 90.00 90.00
Site moments in Bohr magnetons follow the coordinates.
Fractional coordinates of all 5 atoms:
Au 0.000 0.000 0.000  0.12
Tc 0.000 0.000 0.500  3.39
Tc 0.500 0.000 0.000  2.89
Zr 0.000 0.500 0.000  -0.77
Cl 0.500 0.500 0.500  0.12

- magnetization (μB/f.u.) = 6.3
- energy (eV per atom) = -5.32

---

Computed, not measured: a geometry-optimized YGeSe2Br structure at the PBE-GGA level of DFT.

a b c (Å): 5.520 5.520 5.348
angles (deg): 90.00 90.00 90.00
Fractional coordinates of all 5 atoms:
Y 0.000 0.000 0.000
Ge 0.500 0.500 0.500
Se 0.000 0.500 0.000
Se 0.500 0.000 0.000
Br 0.000 0.000 0.500

- magnetization (μB/f.u.) = 0.0
- energy (eV per atom) = -4.44

---

Computed, not measured: a geometry-optimized Cr2GePd8 structure at the PBE-GGA level of DFT.

a b c (Å): 3.810 6.096 7.364
angles (deg): 101.69 104.99 90.00
Fractional coordinates of all 11 atoms:
Cr 0.768 0.385 0.537
Cr 0.232 0.615 0.463
Ge 0.500 0.000 0.000
Pd 0.403 0.531 0.806
Pd 0.682 0.916 0.365
Pd 0.853 0.797 0.706
Pd 0.957 0.252 0.915
Pd 0.147 0.203 0.294
Pd 0.318 0.084 0.635
Pd 0.597 0.469 0.194
Pd 0.043 0.748 0.085

- magnetization (μB/f.u.) = 0.0
- DFT formation energy (eV per atom) = -0.082

---

Computed, not measured: a geometry-optimized MoRhSe2 structure at the PBE-GGA level of DFT.

a b c (Å): 3.112 3.112 8.065
angles (deg): 90.00 90.00 118.11
Fractional coordinates of all 4 atoms:
Mo 0.500 0.500 0.250
Rh 0.500 0.500 0.750
Se 0.000 0.000 0.999
Se 0.000 0.000 0.501

- magnetization (μB/f.u.) = 0.0
- energy (eV per atom) = -5.85

---

Computed, not measured: a geometry-optimized LaNd4In4 structure at the PBE-GGA level of DFT.

a b c (Å): 6.359 9.263 9.263
angles (deg): 90.00 90.00 90.00
Fractional coordinates of all 18 atoms:
La 0.000 0.000 0.000
La 0.500 0.500 0.500
Nd 0.376 0.428 0.830
Nd 0.876 0.670 0.928
Nd 0.376 0.572 0.170
Nd 0.124 0.072 0.670
Nd 0.624 0.830 0.572
Nd 0.124 0.928 0.330
Nd 0.876 0.330 0.072
Nd 0.624 0.170 0.428
In 0.606 0.897 0.206
In 0.606 0.103 0.794
In 0.106 0.706 0.603
In 0.894 0.397 0.706
In 0.894 0.603 0.294
In 0.394 0.206 0.103
In 0.394 0.794 0.897
In 0.106 0.294 0.397

- magnetization (μB/f.u.) = 0.0
- DFT formation energy (eV per atom) = -0.287

---

Computed, not measured: a geometry-optimized Sm3Dy7Sc2 structure at the PBE-GGA level of DFT.

a b c (Å): 3.577 5.487 20.241
angles (deg): 90.00 95.11 90.00
Fractional coordinates of all 12 atoms:
Sm 0.500 0.500 0.000
Sm 0.829 0.000 0.661
Sm 0.171 0.000 0.339
Dy 0.285 0.500 0.570
Dy 0.715 0.500 0.430
Dy 0.410 0.000 0.823
Dy 0.000 0.000 0.000
Dy 0.590 0.000 0.177
Dy 0.070 0.500 0.138
Dy 0.930 0.500 0.862
Sc 0.360 0.500 0.725
Sc 0.640 0.500 0.275

- magnetization (μB/f.u.) = 0.0
- DFT formation energy (eV per atom) = 0.236

---

Computed, not measured: a geometry-optimized Ho8Ga2Os structure at the PBE-GGA level of DFT.

a b c (Å): 4.909 8.151 8.490
angles (deg): 118.69 106.80 90.00
Fractional coordinates of all 11 atoms:
Os 0.500 0.000 0.000
Ho 0.654 0.884 0.308
Ho 0.346 0.576 0.692
Ho 0.124 0.124 0.248
Ho 0.000 0.321 0.000
Ho 0.876 0.876 0.752
Ho 0.654 0.424 0.308
Ho 0.346 0.116 0.692
Ho 0.000 0.679 0.000
Ga 0.192 0.692 0.384
Ga 0.808 0.308 0.616

- magnetization (μB/f.u.) = 0.0
- DFT formation energy (eV per atom) = -0.184

---

Computed, not measured: a geometry-optimized TlBi2F6 structure at the PBE-GGA level of DFT.

a b c (Å): 5.924 7.975 7.975
angles (deg): 82.67 74.44 74.44
Fractional coordinates of all 18 atoms:
Tl 0.250 0.146 0.854
Tl 0.750 0.854 0.146
Bi 0.523 0.574 0.757
Bi 0.977 0.243 0.426
Bi 0.477 0.426 0.243
Bi 0.023 0.757 0.574
F 0.454 0.660 0.414
F 0.046 0.586 0.340
F 0.546 0.340 0.586
F 0.954 0.414 0.660
F 0.998 0.963 0.347
F 0.502 0.653 0.037
F 0.002 0.037 0.653
F 0.498 0.347 0.963
F 0.102 0.705 0.863
F 0.398 0.137 0.295
F 0.898 0.295 0.137
F 0.602 0.863 0.705

- magnetization (μB/f.u.) = 0.0
- energy (eV per atom) = -4.41

---

Computed, not measured: a geometry-optimized Ac4Bi2TeN2 structure at the PBE-GGA level of DFT.

a b c (Å): 4.475 9.702 9.280
angles (deg): 121.48 103.95 90.00
Fractional coordinates of all 9 atoms:
Ac 0.229 0.131 0.457
Ac 0.771 0.869 0.543
Ac 0.527 0.769 0.054
Ac 0.473 0.231 0.946
Bi 0.099 0.564 0.198
Bi 0.901 0.436 0.802
Te 0.000 0.000 0.000
N 0.679 0.980 0.357
N 0.321 0.020 0.643

- magnetization (μB/f.u.) = 0.0
- energy (eV per atom) = -6.04